No. 1
{"formula": "Ba2Se", "functional": "PBE", "state": "optimized geometry", "cell": [[5.509, 0.000, 0.000], [0.000, 5.509, 0.000], [0.000, 0.000, 4.053]], "species": ["Ba", "Ba", "Se"], "frac_coords": [[0.000, 0.500, 0.000], [0.500, 0.000, 0.000], [0.000, 0.000, 0.500]], "formation_energy_uncorrected_mev_per_atom": -1148, "n_ef_per_ev_atom": 0.791, "magmom_total_mub_per_fu": 0.0, "dft_energy_ev_per_cell": -10.77}

No. 2
{"formula": "BaSe2", "functional": "PBE", "state": "optimized geometry", "cell": [[13.777, 0.000, 0.000], [0.000, 4.623, 0.000], [-1.296, 0.000, 6.864]], "species": ["Ba", "Ba", "Ba", "Ba", "Se", "Se", "Se", "Se", "Se", "Se", "Se", "Se"], "frac_coords": [[0.103, 0.000, 0.263], [0.397, 0.500, 0.737], [0.603, 0.500, 0.263], [0.897, 0.000, 0.737], [0.081, 0.500, 0.897], [0.157, 0.500, 0.608], [0.343, 0.000, 0.392], [0.419, 0.000, 0.103], [0.581, 0.000, 0.897], [0.657, 0.000, 0.608], [0.843, 0.500, 0.392], [0.919, 0.500, 0.103]], "formation_energy_uncorrected_mev_per_atom": -1257, "n_ef_per_ev_atom": 0.002, "magmom_total_mub_per_fu": 0.0, "dft_energy_ev_per_cell": -50.65}

No. 3
{"formula": "BaSe3", "functional": "PBE", "state": "optimized geometry", "cell": [[4.273, 0.000, 0.000], [0.000, 4.273, 0.000], [0.000, 0.000, 6.135]], "species": ["Ba", "Se", "Se", "Se"], "frac_coords": [[0.000, 0.000, 0.000], [0.000, 0.000, 0.500], [0.500, 0.500, 0.270], [0.500, 0.500, 0.730]], "formation_energy_uncorrected_mev_per_atom": -522, "n_ef_per_ev_atom": 1.308, "magmom_total_mub_per_fu": 0.0, "dft_energy_ev_per_cell": -14.46}

No. 4
{"formula": "Ba2Se", "functional": "PBE", "state": "optimized geometry", "cell": [[4.915, 0.000, 0.000], [0.000, 22.658, 0.000], [0.000, 0.000, 4.768]], "species": ["Ba", "Ba", "Ba", "Ba", "Ba", "Ba", "Ba", "Ba", "Se", "Se", "Se", "Se"], "frac_coords": [[0.000, 0.092, 0.250], [0.000, 0.259, 0.750], [0.000, 0.741, 0.250], [0.000, 0.908, 0.750], [0.500, 0.241, 0.250], [0.500, 0.408, 0.750], [0.500, 0.592, 0.250], [0.500, 0.759, 0.750], [0.000, 0.362, 0.250], [0.000, 0.638, 0.750], [0.500, 0.138, 0.750], [0.500, 0.862, 0.250]], "formation_energy_uncorrected_mev_per_atom": -981, "n_ef_per_ev_atom": 0.742, "magmom_total_mub_per_fu": 0.1, "dft_energy_ev_per_cell": -41.10}